Record 1
The following is a DFT calculation (GGA+U) of an optimized crystal structure of Ba2TbMn2O6.

Results
As for the spin magnetization: 9.000 μB/cell. The total DFT energy (no corrections) comes out at -6.720 eV/atom.

Lattice parameters (Å, degrees): 6.0629 6.0629 17.3478 90.00 90.00 120.00
Space group R-3m (No. 166, hexagonal axes)
Inequivalent atoms, fractional coordinates:
Ba  0.0000  0.0000  0.2172
Tb  0.0000  0.0000  0.0000
Mn  0.0000  0.0000  0.4420
O  0.0049  0.5025  0.7511

Record 2
The following is a DFT calculation (GGA+U) of an optimized crystal structure of Ca3Cd3CoO8.

Results
As for the spin magnetization: 2.016 μB/cell. The total DFT energy (no corrections) comes out at -5.313 eV/atom.

Lattice parameters (Å, degrees): 11.440 6.691 6.608 90.00 124.63 90.00
Space group C2/m (No. 12)
Inequivalent atoms, fractional coordinates:
Ca  0.000  0.000  0.000
Ca  0.250  0.250  0.500
Cd  0.000  0.500  0.500
Cd  0.250  0.250  0.000
Co  0.000  0.000  0.500
O  0.001  0.208  0.292
O  0.208  0.000  0.707
O  0.248  0.000  0.251